Nb2V2Ru5Au after structural relaxation. Source: the Alexandria database, functional PBE-GGA.

Results
**Electronic total energy**: -0.320 Ha/atom
**Total magnetization**: 0.00 μB per formula unit
**DOS at the Fermi energy**: 9.63 states/eV/f.u.
**Space group**: P4/mbm
**ΔH_f (0 K)**: 0.0965 eV/atom

Cell: 3.9175 8.9078 8.9078 Å, 90.00 90.00 90.00°
Fractional positions:
V: 0.0000 0.6129 0.8871
Nb: 0.0000 0.1886 0.3114
Nb: 0.0000 0.3114 0.8114
Ru: 0.5000 0.7074 0.4411
Ru: 0.5000 0.0000 0.5000
Ru: 0.5000 0.4411 0.2926
Au: 0.0000 0.5000 0.5000
Ru: 0.5000 0.0589 0.7926
Ru: 0.5000 0.7926 0.9411
Nb: 0.0000 0.6886 0.1886
Nb: 0.0000 0.8114 0.6886
Ru: 0.5000 0.2074 0.0589
Ru: 0.5000 0.5589 0.7074
V: 0.0000 0.8871 0.3871
Ru: 0.5000 0.5000 0.0000
Ru: 0.5000 0.9411 0.2074
V: 0.0000 0.1129 0.6129
Au: 0.0000 0.0000 0.0000
Ru: 0.5000 0.2926 0.5589
V: 0.0000 0.3871 0.1129